NpBeCrO6 after structural relaxation, computed with PBE+U.

Results
**VASP energy**: -8.203 eV/atom

Unit cell a=4.6658 b=4.6658 c=8.9368 alpha=90.00 beta=90.00 gamma=90.00
Fractional coordinates of all 18 atoms:
1 Np 0.5000 0.5000 0.1651
2 Np 0.0000 0.0000 0.6651
3 Be 0.5000 0.5000 0.8226
4 Be 0.0000 0.0000 0.3226
5 Cr 0.5000 0.5000 0.5050
6 Cr 0.0000 0.0000 0.0050
7 O 0.1910 0.8090 0.4909
8 O 0.8090 0.1910 0.4909
9 O 0.3090 0.3090 0.9909
10 O 0.6910 0.6910 0.9909
11 O 0.1835 0.8165 0.1792
12 O 0.8165 0.1835 0.1792
13 O 0.3165 0.3165 0.6792
14 O 0.6835 0.6835 0.6792
15 O 0.8015 0.1985 0.8336
16 O 0.1985 0.8015 0.8336
17 O 0.6985 0.6985 0.3336
18 O 0.3015 0.3015 0.3336